Entry 1:
TiBeF3: optimized geometry, PBE.

Results
**Excess energy over the best structure of this formula in the dataset**: 0.0 meV/atom
**Total magnetization**: 0.58 μB per atom
**Formation energy (no corrections)**: -1.8349 eV per atom
**Total DFT energy (no corrections)**: -26.410 eV for the cell shown

a = 3.7052 Å, b = 3.7052 Å, c = 3.7052 Å
α = 90.00°, β = 90.00°, γ = 90.00°
Last column: nearest neighbours and their distance in Å.
Atoms (fractional coordinates):
Be (0.0000, 0.0000, 0.0000)  6 F 1.85
F (0.0000, 0.5000, 0.0000)  2 Be 1.85
F (0.0000, 0.0000, 0.5000)  2 Be 1.85
F (0.5000, 0.0000, 0.0000)  2 Be 1.85
Ti (0.5000, 0.5000, 0.5000)  12 F 2.62

Entry 2:
BeTl3F4: optimized geometry, PBE.

Results
**Total magnetization**: 0.00 μB per atom
**Formation energy (no corrections)**: -2.0637 eV per atom
**Total DFT energy (no corrections)**: -69.640 eV for the cell shown

a = 6.2773 Å, b = 7.3205 Å, c = 7.1447 Å
α = 90.00°, β = 90.00°, γ = 90.00°
Last column: nearest neighbours and their distance in Å.
Atoms (fractional coordinates):
Be (0.9974, 0.1243, 0.0000)  4 F 1.55-1.58
Be (0.4974, 0.8757, 0.5000)  4 F 1.55-1.58
Tl (0.4776, 0.9355, 0.0000)  3 F 2.67-2.69
Tl (0.0209, 0.5619, 0.2369)  3 F 2.77-3.08
Tl (0.5209, 0.4381, 0.2631)  3 F 2.77-3.08
Tl (0.9776, 0.0645, 0.5000)  3 F 2.67-2.69
Tl (0.5209, 0.4381, 0.7369)  3 F 2.77-3.08
Tl (0.0209, 0.5619, 0.7631)  3 F 2.77-3.08
F (0.9894, 0.9126, 0.0000)  1 Be 1.55
F (0.7645, 0.2078, 0.0000)  1 Be 1.58
F (0.1222, 0.1980, 0.1767)  1 Be 1.58
F (0.6222, 0.8020, 0.3233)  1 Be 1.58
F (0.2645, 0.7922, 0.5000)  1 Be 1.58
F (0.4894, 0.0874, 0.5000)  1 Be 1.55
F (0.6222, 0.8020, 0.6767)  1 Be 1.58
F (0.1222, 0.1980, 0.8233)  1 Be 1.58

Entry 3:
BeTl3F5: optimized geometry, PBE.

Results
**Total magnetization**: 0.00 μB per atom
**Formation energy (no corrections)**: -2.2972 eV per atom
**Total DFT energy (no corrections)**: -81.713 eV for the cell shown

a = 7.5518 Å, b = 7.5518 Å, c = 7.8567 Å
α = 118.72°, β = 118.72°, γ = 90.00°
Last column: nearest neighbours and their distance in Å.
Atoms (fractional coordinates):
Be (0.7500, 0.2500, 0.5000)  4 F 1.58
Be (0.2500, 0.7500, 0.5000)  4 F 1.58
Tl (0.6847, 0.1847, 0.0000)  8 F 2.76-3.06
Tl (0.3153, 0.8153, 0.0000)  8 F 2.76-3.06
Tl (0.8153, 0.6847, 0.0000)  8 F 2.76-3.06
Tl (0.1847, 0.3153, 0.0000)  8 F 2.76-3.06
Tl (0.2500, 0.2500, 0.5000)  10 F 2.88-3.15
Tl (0.7500, 0.7500, 0.5000)  10 F 2.88-3.15
F (0.9496, 0.4496, 0.6596)  1 Be 1.58
F (0.7100, 0.2100, 0.6596)  1 Be 1.58
F (0.2100, 0.9496, 0.6596)  1 Be 1.58
F (0.4496, 0.7100, 0.6596)  1 Be 1.58
F (0.0504, 0.5504, 0.3404)  1 Be 1.58
F (0.2900, 0.7900, 0.3404)  1 Be 1.58
F (0.7900, 0.0504, 0.3404)  1 Be 1.58
F (0.5504, 0.2900, 0.3404)  1 Be 1.58
F (0.5000, 0.5000, 0.0000)  6 Tl 2.76-2.88
F (0.0000, 0.0000, 0.0000)  6 Tl 2.76-2.88

Entry 4:
Be2TlF8: optimized geometry, PBE.

Results
**Total magnetization**: 0.10 μB per atom
**Formation energy (no corrections)**: -2.2629 eV per atom
**Total DFT energy (no corrections)**: -49.681 eV for the cell shown

a = 5.3056 Å, b = 5.7964 Å, c = 5.7964 Å
α = 56.37°, β = 76.22°, γ = 76.22°
Last column: nearest neighbours and their distance in Å.
Atoms (fractional coordinates):
Be (0.3214, 0.1915, 0.1915)  4 F 1.54-1.59
Be (0.6786, 0.8085, 0.8085)  4 F 1.54-1.59
Tl (0.0000, 0.0000, 0.0000)  6 F 2.22-2.23
F (0.7823, 0.1013, 0.6656)  1 Be 1.59
F (0.2177, 0.3345, 0.8987)  1 Be 1.59
F (0.6244, 0.1647, 0.1647)  1 Be 1.56
F (0.3756, 0.8353, 0.8353)  1 Be 1.56
F (0.7823, 0.6656, 0.1013)  1 Be 1.59
F (0.2177, 0.8987, 0.3345)  1 Be 1.59
F (0.2092, 0.3469, 0.3469)  1 Be 1.54
F (0.7908, 0.6531, 0.6531)  1 Be 1.54

Entry 5:
BeTlF3: optimized geometry, PBE.

Results
**Excess energy over the best structure of this formula in the dataset**: 1917.3 meV/atom
**Total magnetization**: 0.12 μB per atom
**Formation energy (no corrections)**: -0.8138 eV per atom
**Total DFT energy (no corrections)**: -15.775 eV for the cell shown

a = 4.5601 Å, b = 4.5601 Å, c = 4.5601 Å
α = 90.00°, β = 90.00°, γ = 90.00°
Last column: nearest neighbours and their distance in Å.
Atoms (fractional coordinates):
Be (0.5000, 0.5000, 0.5000)  12 F 3.22
Tl (0.0000, 0.0000, 0.0000)  6 F 2.28
F (0.0000, 0.5000, 0.0000)  2 Tl 2.28
F (0.0000, 0.0000, 0.5000)  2 Tl 2.28
F (0.5000, 0.0000, 0.0000)  2 Tl 2.28

Entry 6:
Be3TlF: optimized geometry, PBE.

Results
**Excess energy over the best structure of this formula in the dataset**: 0.0 meV/atom
**Total magnetization**: 0.00 μB per atom
**Formation energy (no corrections)**: 0.2941 eV per atom
**Total DFT energy (no corrections)**: -13.946 eV for the cell shown

a = 3.9767 Å, b = 3.9767 Å, c = 3.9767 Å
α = 90.00°, β = 90.00°, γ = 90.00°
Last column: nearest neighbours and their distance in Å.
Atoms (fractional coordinates):
Be (0.0000, 0.5000, 0.0000)  2 F 1.99
Be (0.0000, 0.0000, 0.5000)  2 F 1.99
Be (0.5000, 0.0000, 0.0000)  2 F 1.99
Tl (0.5000, 0.5000, 0.5000)  12 Be 2.81
F (0.0000, 0.0000, 0.0000)  6 Be 1.99

Entry 7:
BeTl4F5: optimized geometry, PBE.

Results
**Total magnetization**: 0.00 μB per atom
**Formation energy (no corrections)**: -1.8735 eV per atom
**Total DFT energy (no corrections)**: -41.283 eV for the cell shown

a = 5.4319 Å, b = 6.6152 Å, c = 6.6152 Å
α = 80.30°, β = 65.76°, γ = 65.76°
Last column: nearest neighbours and their distance in Å.
Atoms (fractional coordinates):
Be (0.0760, 0.0000, 0.0000)  5 F 1.60-1.75
Tl (0.3901, 0.4240, 0.8196)  5 F 2.71-2.96
Tl (0.8141, 0.8196, 0.5760)  5 F 2.71-2.96
Tl (0.2097, 0.1804, 0.4240)  5 F 2.71-2.96
Tl (0.6337, 0.5760, 0.1804)  5 F 2.71-2.96
F (0.9433, 0.2519, 0.8699)  1 Be 1.75
F (0.1952, 0.8699, 0.7481)  1 Be 1.75
F (0.8132, 0.1301, 0.2519)  1 Be 1.75
F (0.0651, 0.7481, 0.1301)  1 Be 1.75
F (0.3698, 0.0000, 0.0000)  1 Be 1.60

Entry 8:
BeTl3F: optimized geometry, PBE.

Results
**Excess energy over the best structure of this formula in the dataset**: 0.0 meV/atom
**Total magnetization**: 0.00 μB per atom
**Formation energy (no corrections)**: -0.2003 eV per atom
**Total DFT energy (no corrections)**: -13.698 eV for the cell shown

a = 4.9856 Å, b = 4.9856 Å, c = 4.9856 Å
α = 90.00°, β = 90.00°, γ = 90.00°
Last column: nearest neighbours and their distance in Å.
Atoms (fractional coordinates):
Be (0.0000, 0.0000, 0.0000)  6 Tl 2.49
Tl (0.0000, 0.5000, 0.0000)  2 Be 2.49
Tl (0.0000, 0.0000, 0.5000)  2 Be 2.49
Tl (0.5000, 0.0000, 0.0000)  2 Be 2.49
F (0.5000, 0.5000, 0.5000)  12 Tl 3.53

Entry 9:
Be2TlF6: optimized geometry, PBE.

Results
**Total magnetization**: 0.00 μB per atom
**Formation energy (no corrections)**: -2.7019 eV per atom
**Total DFT energy (no corrections)**: -90.728 eV for the cell shown

a = 5.1622 Å, b = 7.2889 Å, c = 7.2889 Å
α = 84.04°, β = 70.57°, γ = 70.57°
Last column: nearest neighbours and their distance in Å.
Atoms (fractional coordinates):
Be (0.3674, 0.6298, 0.7733)  4 F 1.54-1.60
Be (0.1326, 0.2267, 0.3702)  4 F 1.54-1.60
Be (0.6326, 0.3702, 0.2267)  4 F 1.54-1.60
Be (0.8674, 0.7733, 0.6298)  4 F 1.54-1.60
Tl (0.2500, 0.1554, 0.8446)  6 F 2.35-2.58
Tl (0.7500, 0.8446, 0.1554)  6 F 2.35-2.58
F (0.6900, 0.6242, 0.6687)  2 Be 1.57-1.59
F (0.8100, 0.3313, 0.3758)  2 Be 1.57-1.59
F (0.3100, 0.3758, 0.3313)  2 Be 1.57-1.59
F (0.1900, 0.6687, 0.6242)  2 Be 1.57-1.59
F (0.8461, 0.8825, 0.4403)  1 Be 1.54
F (0.6539, 0.5597, 0.1175)  1 Be 1.54
F (0.1539, 0.1175, 0.5597)  1 Be 1.54
F (0.3461, 0.4403, 0.8825)  1 Be 1.54
F (0.2160, 0.8095, 0.9217)  1 Be 1.60
F (0.2840, 0.0783, 0.1905)  1 Be 1.60
F (0.7840, 0.1905, 0.0783)  1 Be 1.60
F (0.7160, 0.9217, 0.8095)  1 Be 1.60

Entry 10:
BeTl2F4: optimized geometry, PBE.

Results
**Excess energy over the best structure of this formula in the dataset**: 0.0 meV/atom
**Total magnetization**: 0.00 μB per atom
**Formation energy (no corrections)**: -2.4657 eV per atom
**Total DFT energy (no corrections)**: -132.816 eV for the cell shown

a = 5.9138 Å, b = 7.7883 Å, c = 10.7099 Å
α = 90.00°, β = 90.00°, γ = 90.00°
Last column: nearest neighbours and their distance in Å.
Atoms (fractional coordinates):
Be (0.2500, 0.2253, 0.5780)  4 F 1.56-1.59
Be (0.7500, 0.2747, 0.0780)  4 F 1.56-1.59
Be (0.7500, 0.7747, 0.4220)  4 F 1.56-1.59
Be (0.2500, 0.7253, 0.9220)  4 F 1.56-1.59
F (0.0313, 0.2967, 0.6430)  1 Be 1.57
F (0.9687, 0.2033, 0.1430)  1 Be 1.57
F (0.5313, 0.7033, 0.3570)  1 Be 1.57
F (0.4687, 0.7967, 0.8570)  1 Be 1.57
F (0.9687, 0.7033, 0.3570)  1 Be 1.57
F (0.0313, 0.7967, 0.8570)  1 Be 1.57
F (0.4687, 0.2967, 0.6430)  1 Be 1.57
F (0.5313, 0.2033, 0.1430)  1 Be 1.57
F (0.2500, 0.0244, 0.5797)  1 Be 1.56
F (0.7500, 0.4756, 0.0797)  1 Be 1.56
F (0.7500, 0.9756, 0.4203)  1 Be 1.56
F (0.2500, 0.5244, 0.9203)  1 Be 1.56
F (0.2500, 0.2945, 0.4385)  1 Be 1.59
F (0.7500, 0.2055, 0.9385)  1 Be 1.59
F (0.7500, 0.7055, 0.5615)  1 Be 1.59
F (0.2500, 0.7945, 0.0615)  1 Be 1.59
Tl (0.2500, 0.1690, 0.9190)  5 F 2.77-2.98
Tl (0.7500, 0.3310, 0.4190)  5 F 2.77-2.98
Tl (0.7500, 0.8310, 0.0810)  5 F 2.77-2.98
Tl (0.2500, 0.6690, 0.5810)  5 F 2.77-2.98
Tl (0.2500, 0.9934, 0.3033)  7 F 2.76-3.02
Tl (0.7500, 0.5066, 0.8033)  7 F 2.76-3.02
Tl (0.7500, 0.0066, 0.6967)  7 F 2.76-3.02
Tl (0.2500, 0.4934, 0.1967)  7 F 2.76-3.02

Entry 11:
BeTl2F4: optimized geometry, PBE.

Results
**Excess energy over the best structure of this formula in the dataset**: 2.4 meV/atom
**Total magnetization**: 0.00 μB per atom
**Formation energy (no corrections)**: -2.4633 eV per atom
**Total DFT energy (no corrections)**: -66.374 eV for the cell shown

a = 5.7605 Å, b = 6.0613 Å, c = 8.3164 Å
α = 109.62°, β = 90.00°, γ = 90.00°
Last column: nearest neighbours and their distance in Å.
Atoms (fractional coordinates):
Be (0.2500, 0.7279, 0.7731)  4 F 1.57-1.58
Be (0.7500, 0.2721, 0.2269)  4 F 1.57-1.58
Tl (0.2500, 0.2946, 0.9917)  4 F 2.70-2.81
Tl (0.7500, 0.7054, 0.0083)  4 F 2.70-2.81
Tl (0.7500, 0.7906, 0.5438)  5 F 2.78-3.00
Tl (0.2500, 0.2094, 0.4562)  5 F 2.78-3.00
F (0.4708, 0.5679, 0.7142)  1 Be 1.57
F (0.2500, 0.8417, 0.9735)  1 Be 1.58
F (0.7500, 0.1583, 0.0265)  1 Be 1.58
F (0.0292, 0.5679, 0.7142)  1 Be 1.57
F (0.7500, 0.0758, 0.3103)  1 Be 1.57
F (0.9708, 0.4321, 0.2858)  1 Be 1.57
F (0.5292, 0.4321, 0.2858)  1 Be 1.57
F (0.2500, 0.9242, 0.6897)  1 Be 1.57

Entry 12:
Be3TlF: optimized geometry, PBE.

Results
**Excess energy over the best structure of this formula in the dataset**: 348.8 meV/atom
**Total magnetization**: 0.00 μB per atom
**Formation energy (no corrections)**: 0.6429 eV per atom
**Total DFT energy (no corrections)**: -12.202 eV for the cell shown

a = 4.5526 Å, b = 4.5526 Å, c = 4.5526 Å
α = 90.00°, β = 90.00°, γ = 90.00°
Last column: nearest neighbours and their distance in Å.
Atoms (fractional coordinates):
Be (0.0000, 0.5000, 0.0000)  2 Tl 2.28
Be (0.0000, 0.0000, 0.5000)  2 Tl 2.28
Be (0.5000, 0.0000, 0.0000)  2 Tl 2.28
Tl (0.0000, 0.0000, 0.0000)  6 Be 2.28
F (0.5000, 0.5000, 0.5000)  12 Be 3.22

Entry 13:
BeTlF3: optimized geometry, PBE.

Results
**Excess energy over the best structure of this formula in the dataset**: 0.0 meV/atom
**Total magnetization**: 0.00 μB per atom
**Formation energy (no corrections)**: -2.7311 eV per atom
**Total DFT energy (no corrections)**: -101.448 eV for the cell shown

a = 4.7242 Å, b = 5.9185 Å, c = 12.1383 Å
α = 90.00°, β = 90.00°, γ = 90.00°
Last column: nearest neighbours and their distance in Å.
Atoms (fractional coordinates):
Be (0.8103, 0.7500, 0.1744)  4 F 1.54-1.60
Be (0.3103, 0.7500, 0.3256)  4 F 1.54-1.60
Be (0.1897, 0.2500, 0.8256)  4 F 1.54-1.60
Be (0.6897, 0.2500, 0.6744)  4 F 1.54-1.60
Tl (0.2356, 0.7500, 0.5996)  6 F 2.81-2.94
Tl (0.7356, 0.7500, 0.9004)  6 F 2.81-2.94
Tl (0.7644, 0.2500, 0.4004)  6 F 2.81-2.94
Tl (0.2644, 0.2500, 0.0996)  6 F 2.81-2.94
F (0.8653, 0.2500, 0.7865)  2 Be 1.59-1.60
F (0.3653, 0.2500, 0.7135)  2 Be 1.59-1.60
F (0.1347, 0.7500, 0.2135)  2 Be 1.59-1.60
F (0.6347, 0.7500, 0.2865)  2 Be 1.59-1.60
F (0.2455, 0.0348, 0.8934)  1 Be 1.54
F (0.7455, 0.4652, 0.6066)  1 Be 1.54
F (0.7545, 0.5348, 0.1066)  1 Be 1.54
F (0.2545, 0.9652, 0.3934)  1 Be 1.54
F (0.7545, 0.9652, 0.1066)  1 Be 1.54
F (0.2545, 0.5348, 0.3934)  1 Be 1.54
F (0.2455, 0.4652, 0.8934)  1 Be 1.54
F (0.7455, 0.0348, 0.6066)  1 Be 1.54

Entry 14:
BeTlF3: optimized geometry, PBE.

Results
**Excess energy over the best structure of this formula in the dataset**: 498.9 meV/atom
**Total magnetization**: 0.00 μB per atom
**Formation energy (no corrections)**: -2.2322 eV per atom
**Total DFT energy (no corrections)**: -22.868 eV for the cell shown

a = 3.9024 Å, b = 3.9024 Å, c = 3.9024 Å
α = 90.00°, β = 90.00°, γ = 90.00°
Last column: nearest neighbours and their distance in Å.
Atoms (fractional coordinates):
Be (0.0000, 0.0000, 0.0000)  6 F 1.95
Tl (0.5000, 0.5000, 0.5000)  12 F 2.76
F (0.0000, 0.5000, 0.0000)  2 Be 1.95
F (0.0000, 0.0000, 0.5000)  2 Be 1.95
F (0.5000, 0.0000, 0.0000)  2 Be 1.95

Entry 15:
Be2TlF5: optimized geometry, PBE.

Results
**Total magnetization**: 0.00 μB per atom
**Formation energy (no corrections)**: -2.9380 eV per atom
**Total DFT energy (no corrections)**: -85.359 eV for the cell shown

a = 4.7149 Å, b = 4.7149 Å, c = 12.7796 Å
α = 88.83°, β = 88.83°, γ = 59.92°
Last column: nearest neighbours and their distance in Å.
Atoms (fractional coordinates):
Be (0.6924, 0.6431, 0.2952)  4 F 1.52-1.58
Be (0.3569, 0.3076, 0.2048)  4 F 1.52-1.58
Be (0.3076, 0.3569, 0.7048)  4 F 1.52-1.58
Be (0.6431, 0.6924, 0.7952)  4 F 1.52-1.58
Tl (0.0000, 0.0000, 0.5000)  6 F 2.92-2.96
Tl (0.0000, 0.0000, 0.0000)  6 F 2.92-2.96
F (0.4217, 0.5783, 0.2500)  2 Be 1.58
F (0.9619, 0.6528, 0.7385)  2 Be 1.58
F (0.6528, 0.9619, 0.2385)  2 Be 1.58
F (0.0381, 0.3472, 0.2615)  2 Be 1.58
F (0.3472, 0.0381, 0.7615)  2 Be 1.58
F (0.6760, 0.6653, 0.9133)  1 Be 1.52
F (0.3347, 0.3240, 0.5867)  1 Be 1.52
F (0.3240, 0.3347, 0.0867)  1 Be 1.52
F (0.6653, 0.6760, 0.4133)  1 Be 1.52
F (0.5783, 0.4217, 0.7500)  2 Be 1.58

Entry 16:
Be2Tl3F8: optimized geometry, PBE.

Results
**Total magnetization**: 0.00 μB per atom
**Formation energy (no corrections)**: -2.4615 eV per atom
**Total DFT energy (no corrections)**: -61.522 eV for the cell shown

a = 5.6154 Å, b = 5.6154 Å, c = 8.1341 Å
α = 69.81°, β = 69.81°, γ = 60.00°
Last column: nearest neighbours and their distance in Å.
Atoms (fractional coordinates):
Be (0.3895, 0.3895, 0.8314)  4 F 1.53-1.58
Be (0.6105, 0.6105, 0.1686)  4 F 1.53-1.58
Tl (0.0000, 0.0000, 0.0000)  6 F 2.52
Tl (0.2088, 0.2088, 0.3735)  1 F 2.51
Tl (0.7912, 0.7912, 0.6265)  1 F 2.51
F (0.3210, 0.3210, 0.0371)  1 Be 1.53
F (0.6790, 0.6790, 0.9629)  1 Be 1.53
F (0.2617, 0.7186, 0.7580)  1 Be 1.58
F (0.7186, 0.2617, 0.7580)  1 Be 1.58
F (0.2617, 0.2617, 0.7580)  1 Be 1.58
F (0.2814, 0.7383, 0.2420)  1 Be 1.58
F (0.7383, 0.2814, 0.2420)  1 Be 1.58
F (0.7383, 0.7383, 0.2420)  1 Be 1.58

Entry 17:
BeTl2F5: optimized geometry, PBE.

Results
**Total magnetization**: 0.00 μB per atom
**Formation energy (no corrections)**: -2.1480 eV per atom
**Total DFT energy (no corrections)**: -34.999 eV for the cell shown

a = 5.7820 Å, b = 5.7820 Å, c = 5.6145 Å
α = 120.99°, β = 120.99°, γ = 90.00°
Last column: nearest neighbours and their distance in Å.
Atoms (fractional coordinates):
Be (0.9707, 0.9707, 0.9413)  1 F 1.55
Tl (0.2175, 0.7175, 0.4350)  4 F 2.55
Tl (0.7175, 0.2175, 0.4350)  4 F 2.55
F (0.8183, 0.2325, 0.0508)  1 Be 1.75
F (0.2325, 0.2325, 0.0508)  1 Be 1.74
F (0.8183, 0.8183, 0.0508)  1 Be 1.75
F (0.2325, 0.8183, 0.0508)  1 Be 1.75
F (0.7698, 0.7698, 0.5396)  1 Be 1.55